Density functional theory data (PBE) for KZrTi2 after structural relaxation.

The space-group type is I-42d. The value obtained for the energy above the most stable polymorph in this dataset is 216 meV per atom. Its density of states at the Fermi level is 4.079 states/eV/f.u. For the energy of formation, the calculation gives 1.340 eV per atom.

Cell: 4.3487 4.3487 10.8100 Å, 78.40 78.40 90.00°
Last column: nearest neighbours and their distance in Å.
Atoms (fractional coordinates):
Zr: 0.7500 0.2500 0.5000  4 Ti 2.95, 4 K 3.08
Zr: 0.0000 0.0000 0.0000  4 Ti 2.95, 4 K 3.08
Ti: 0.3750 0.3291 0.7500  2 Ti 2.81, 2 Zr 2.95, 2 K 3.09
Ti: 0.0791 0.6250 0.2500  2 Ti 2.81, 2 Zr 2.95, 2 K 3.09
Ti: 0.8750 0.9209 0.7500  2 Ti 2.81, 2 Zr 2.95, 2 K 3.09
Ti: 0.6709 0.1250 0.2500  2 Ti 2.81, 2 Zr 2.95, 2 K 3.09
K: 0.5000 0.5000 0.0000  4 Zr 3.08, 4 Ti 3.09
K: 0.2500 0.7500 0.5000  4 Zr 3.08, 4 Ti 3.09